(1)
TbCe2InC after structural relaxation. Source: Alexandria via LeMat-Bulk, functional GGA-PBE.

Geometry as extended XYZ:
```
5
Lattice="-0.6343 4.3501 -2.4250 1.9591 -1.9948 -4.0908 -4.5080 -1.4631 -1.4455" Properties=species:S:1:pos:R:3 pbc="T T T"
In -1.5916 0.4461 -3.9806
Ce 0.9796 -0.9974 -2.0454
Tb -0.3171 2.1750 -1.2125
C 0.0000 0.0000 0.0000
Ce -2.2540 -0.7315 -0.7227
```

## Properties
For the raw total energy, the calculation gives -30.2 eV per cell.

---

(2)
Sr6Hg5Au after structural relaxation. Source: Alexandria via LeMat-Bulk, functional GGA-PBE.

Geometry as extended XYZ:
```
12
Lattice="5.4140 0.0268 -1.5727 -1.0771 6.8955 -3.5909 -0.0770 0.6056 9.7644" Properties=species:S:1:pos:R:3 pbc="T T T"
Au 0.0000 0.0000 0.0000
Sr 2.3682 2.2967 8.1041
Hg -0.5385 3.4478 -1.7954
Sr 0.4164 3.0258 1.4585
Hg 2.8655 4.8174 -0.1862
Sr 4.3900 1.0046 4.9633
Sr -0.1301 6.5233 -0.3625
Hg 1.3945 2.7106 4.7871
Hg 0.8360 6.1161 2.9176
Hg 3.4239 1.4118 1.6832
Sr 1.8918 5.2312 -3.5033
Sr 3.8436 4.5021 3.1423
```

## Properties
For the raw total energy, the calculation gives -21.6 eV per cell.

---

(3)
CaCe4Pd15 after structural relaxation. Source: Alexandria via LeMat-Bulk, functional GGA-PBE.

Geometry as extended XYZ:
```
20
Lattice="4.1546 0.0000 0.0000 0.0000 4.1546 0.0000 0.0000 0.0000 20.7065" Properties=species:S:1:pos:R:3 pbc="T T T"
Pd 0.0000 2.0773 6.1999
Ce 0.0000 0.0000 12.4439
Pd 2.0773 0.0000 2.1175
Pd 2.0773 0.0000 14.5066
Ca 0.0000 0.0000 0.0000
Pd 0.0000 2.0773 2.1175
Pd 2.0773 2.0773 4.1601
Pd 0.0000 2.0773 18.5890
Pd 0.0000 2.0773 14.5066
Pd 2.0773 0.0000 6.1999
Ce 0.0000 0.0000 8.2626
Pd 2.0773 2.0773 12.4258
Pd 2.0773 0.0000 10.3533
Pd 2.0773 0.0000 18.5890
Pd 2.0773 2.0773 0.0000
Pd 2.0773 2.0773 16.5464
Pd 2.0773 2.0773 8.2807
Pd 0.0000 2.0773 10.3533
Ce 0.0000 0.0000 16.6413
Ce 0.0000 0.0000 4.0652
```

## Properties
For the raw total energy, the calculation gives -119.2 eV per cell.

---

(4)
BaSr3Pd after structural relaxation. Source: Alexandria via LeMat-Bulk, functional GGA-PBE.

Geometry as extended XYZ:
```
10
Lattice="4.5259 -2.6130 0.0000 0.0000 5.2260 0.0000 0.0000 0.0000 21.1129" Properties=species:S:1:pos:R:3 pbc="T T T"
Pd 0.0000 0.0000 10.5564
Ba 1.5086 2.6130 15.8347
Sr 1.5086 2.6130 19.7760
Sr 3.0172 0.0000 1.3369
Pd 0.0000 0.0000 0.0000
Sr 1.5086 2.6130 11.8933
Sr 0.0000 0.0000 5.2782
Ba 3.0172 0.0000 5.2782
Sr 0.0000 0.0000 15.8347
Sr 3.0172 0.0000 9.2196
```

## Properties
The relative energy among the computed polymorphs comes out at 0.869 eV/atom. For the raw total energy, the calculation gives -18.6 eV per cell.

---

(5)
HfScBePt after structural relaxation. Source: Alexandria via LeMat-Bulk, functional GGA-PBE.

Geometry as extended XYZ:
```
4
Lattice="-2.7379 -0.6364 3.6520 -1.3858 -4.2478 1.1286 1.6522 -2.0312 3.7924" Properties=species:S:1:pos:R:3 pbc="T T T"
Be -1.8536 -5.1866 6.4298
Hf 0.0000 0.0000 0.0000
Sc -1.2357 -3.4577 4.2866
Pt -0.6179 -1.7289 2.1433
```

## Properties
For the raw total energy, the calculation gives -28.2 eV per cell.

---

(6)
LaTiAlV after structural relaxation. Source: Alexandria via LeMat-Bulk, functional GGA-PBE.

Geometry as extended XYZ:
```
8
Lattice="4.8977 0.0000 0.0000 0.0000 4.8977 0.0000 0.0000 0.0000 6.9309" Properties=species:S:1:pos:R:3 pbc="T T T"
Al 2.4488 2.4488 3.4654
V 2.4488 2.4488 0.0000
Ti 0.0000 2.4488 5.1982
La 2.4488 0.0000 5.1982
La 0.0000 2.4488 1.7327
V 0.0000 0.0000 3.4654
Al 0.0000 0.0000 0.0000
Ti 2.4488 0.0000 1.7327
```

## Properties
The relative energy among the computed polymorphs comes out at 0.137 eV/atom. For the raw total energy, the calculation gives -49.9 eV per cell.